Below is Rb3LiPb4 at its PBEsol-relaxed geometry, with properties calculated at the meta-GGA SCAN level.

```
Rb3LiPb4
1.0
7.067 0.000 0.000
-3.533 8.185 0.000
0.000 0.000 10.549
Rb Pb Li
6 8 2
Direct
0.386 0.772 0.045 Rb
0.776 0.552 0.250 Rb
0.614 0.228 0.955 Rb
0.614 0.228 0.545 Rb
0.224 0.448 0.750 Rb
0.386 0.772 0.455 Rb
0.191 0.931 0.750 Pb
0.832 0.664 0.606 Pb
0.809 0.069 0.250 Pb
0.168 0.336 0.394 Pb
0.740 0.931 0.750 Pb
0.832 0.664 0.894 Pb
0.260 0.069 0.250 Pb
0.168 0.336 0.106 Pb
0.000 0.000 0.000 Li
0.000 0.000 0.500 Li
```

Computed properties:
size of the total moment: 0.00 μB per cell
ΔE_f: -412 meV per atom
VASP energy: -46.379 eV/atom
V: 610 Å³/cell

=====

Below is RbLi3Pb at its PBEsol-relaxed geometry, with properties calculated at the meta-GGA SCAN level.

```
RbLi3Pb
1.0
5.389 0.000 0.000
0.000 5.389 0.000
0.000 0.000 5.389
Li Pb Rb
3 1 1
Direct
0.000 0.500 0.000 Li
0.500 0.000 0.000 Li
0.000 0.000 0.500 Li
0.000 0.000 0.000 Pb
0.500 0.500 0.500 Rb
```

Computed properties:
size of the total moment: 0.00 μB per cell
ΔE_f: -262 meV per atom
VASP energy: -21.000 eV/atom
V: 156 Å³/cell

=====

Below is RbLiPbW2 at its PBEsol-relaxed geometry, with properties calculated at the meta-GGA SCAN level.

```
RbLiPbW2
1.0
-3.246 -3.313 0.268
3.203 -3.218 -0.984
0.935 -0.530 4.776
Li Pb W Rb
1 1 2 1
Direct
0.000 0.000 0.000 Li
0.000 0.000 0.500 Pb
0.500 0.000 0.000 W
0.000 0.500 0.000 W
0.500 0.500 0.500 Rb
```

Computed properties:
size of the total moment: 3.64 μB per cell
ΔE_f: 2110 meV per atom
VASP energy: -45.547 eV/atom
V: 106 Å³/cell